Entry 1:
This record from Alexandria via LeMat-Bulk describes a geometry-optimized YTa2Tl structure. The functional is PBE.

Calculated values
Total DFT energy (no corrections)   -30.359 eV per formula unit
DOS(E_F)   1.177 states/eV per atom
Formation energy from the elements   2.18 eV/f.u.
E above lowest polymorph   0.397 eV/atom
Density   12.4 g/cm3
M_tot   0.00 μB/cell

Lattice parameters (Å, degrees): 3.008 3.008 9.688 90.00 90.00 90.00
Space group P4/mmm (No. 123)
Symmetry-distinct sites (fractional):
Y 0.000 0.000 0.000 x1
Ta 0.500 0.500 0.263 x2
Tl 0.000 0.000 0.500 x1


Entry 2:
This record from Alexandria via LeMat-Bulk describes a geometry-optimized Y2TaTl structure. The functional is PBE.

Calculated values
Total DFT energy (no corrections)   -25.818 eV per formula unit
DOS(E_F)   1.391 states/eV per atom
Formation energy from the elements   1.33 eV/f.u.
E above lowest polymorph   0.267 eV/atom
Density   9.2 g/cm3
M_tot   0.02 μB/cell

Lattice parameters (Å, degrees): 10.534 3.283 6.010 90.00 100.81 90.00
Space group C2/m (No. 12)
Symmetry-distinct sites (fractional):
Y 0.246 0.000 0.244 x4
Ta 0.000 0.500 0.000 x2
Tl 0.000 0.000 0.500 x2


Entry 3:
This record from Alexandria via LeMat-Bulk describes a geometry-optimized Y2TaTl structure. The functional is PBE.

Calculated values
Total DFT energy (no corrections)   -26.188 eV per formula unit
DOS(E_F)   2.370 states/eV per atom
Formation energy from the elements   0.96 eV/f.u.
E above lowest polymorph   0.174 eV/atom
Density   9.1 g/cm3
M_tot   10.25 μB/cell

Lattice parameters (Å, degrees): 7.432 7.432 7.432 90.00 90.00 90.00
Space group Fm-3m (No. 225)
Symmetry-distinct sites (fractional):
Y 0.250 0.250 0.250 x8
Ta 0.000 0.000 0.000 x4
Tl 0.000 0.000 0.500 x4


Entry 4:
This record from Alexandria via LeMat-Bulk describes a geometry-optimized Y2TaTl structure. The functional is PBE.

Calculated values
Total DFT energy (no corrections)   -26.217 eV per formula unit
DOS(E_F)   0.894 states/eV per atom
Formation energy from the elements   0.93 eV/f.u.
E above lowest polymorph   0.167 eV/atom
Density   9.4 g/cm3
M_tot   0.00 μB/cell

Lattice parameters (Å, degrees): 4.609 4.609 9.363 90.00 90.00 90.00
Space group I4/mmm (No. 139)
Symmetry-distinct sites (fractional):
Y 0.000 0.500 0.250 x4
Ta 0.000 0.000 0.000 x2
Tl 0.000 0.000 0.500 x2


Entry 5:
This record from Alexandria via LeMat-Bulk describes a geometry-optimized YTa2Tl structure. The functional is PBE.

Calculated values
Total DFT energy (no corrections)   -31.150 eV per formula unit
DOS(E_F)   1.555 states/eV per atom
Formation energy from the elements   1.39 eV/f.u.
E above lowest polymorph   0.199 eV/atom
Density   11.7 g/cm3
M_tot   0.00 μB/cell

Lattice parameters (Å, degrees): 3.3317 3.3317 29.0621 90.00 90.00 120.00
Space group R3m (No. 160, hexagonal axes)
Symmetry-distinct sites (fractional):
Y 0.0000 0.0000 0.0000 x3
Ta 0.0000 0.0000 0.2452 x3
Ta 0.0000 0.0000 0.5125 x3
Tl 0.0000 0.0000 0.7612 x3


Entry 6:
This record from Alexandria via LeMat-Bulk describes a geometry-optimized Y2TaTl structure. The functional is PBE.

Calculated values
Total DFT energy (no corrections)   -25.948 eV per formula unit
DOS(E_F)   0.858 states/eV per atom
Formation energy from the elements   1.20 eV/f.u.
E above lowest polymorph   0.234 eV/atom
Density   9.0 g/cm3
M_tot   1.88 μB/cell

Lattice parameters (Å, degrees): 3.3488 3.3488 32.1064 90.00 90.00 120.00
Space group R3m (No. 160, hexagonal axes)
Symmetry-distinct sites (fractional):
Y 0.0000 0.0000 0.0000 x3
Y 0.0000 0.0000 0.2363 x3
Ta 0.0000 0.0000 0.4935 x3
Tl 0.0000 0.0000 0.7513 x3